{"formula": "LaSmAl2Pd5", "functional": "PBE", "state": "relaxed", "delta_e_f_ev_per_atom": -0.81, "spacegroup": "P4/mmm (123)", "magmom_total_mub_per_fu": 0.00, "lattice_angstrom": [[4.351, 0.000, 0.000], [0.000, 4.351, 0.000], [0.000, 0.000, 9.185]], "species": ["La", "Sm", "Al", "Al", "Pd", "Pd", "Pd", "Pd", "Pd"], "frac_coords": [[0.000, 0.000, 0.000], [0.000, 0.000, 0.500], [0.500, 0.500, 0.356], [0.500, 0.500, 0.644], [0.000, 0.500, 0.228], [0.000, 0.500, 0.772], [0.500, 0.000, 0.228], [0.500, 0.000, 0.772], [0.500, 0.500, 0.000]]}

=====

{"formula": "LaAlSnPd3", "functional": "PBE", "state": "relaxed", "delta_e_f_ev_per_atom": -0.69, "spacegroup": "Cmcm (63)", "magmom_total_mub_per_fu": 0.00, "lattice_angstrom": [[2.871, -6.238, 0.000], [2.871, 6.238, 0.000], [0.000, 0.000, 7.197]], "species": ["La", "La", "Al", "Al", "Sn", "Sn", "Pd", "Pd", "Pd", "Pd", "Pd", "Pd"], "frac_coords": [[0.181, 0.819, 0.750], [0.819, 0.181, 0.250], [0.446, 0.554, 0.750], [0.554, 0.446, 0.250], [0.133, 0.867, 0.250], [0.867, 0.133, 0.750], [0.242, 0.242, 0.000], [0.242, 0.242, 0.500], [0.346, 0.654, 0.250], [0.654, 0.346, 0.750], [0.758, 0.758, 0.000], [0.758, 0.758, 0.500]]}

=====

{"formula": "LaAlSn2Pd4", "functional": "PBE", "state": "relaxed", "delta_e_f_ev_per_atom": -0.75, "spacegroup": "R-3m (166)", "magmom_total_mub_per_fu": 0.00, "lattice_angstrom": [[2.275, 1.313, 8.830], [-2.275, 1.313, 8.830], [0.000, -2.627, 8.830]], "species": ["La", "Al", "Sn", "Sn", "Pd", "Pd", "Pd", "Pd"], "frac_coords": [[0.000, 0.000, 0.000], [0.500, 0.500, 0.500], [0.246, 0.246, 0.246], [0.754, 0.754, 0.754], [0.139, 0.139, 0.139], [0.405, 0.405, 0.405], [0.595, 0.595, 0.595], [0.861, 0.861, 0.861]]}

=====

{"formula": "La2Al3SnPd4", "functional": "PBE", "state": "relaxed", "delta_e_f_ev_per_atom": -0.85, "spacegroup": "P-4m2 (115)", "magmom_total_mub_per_fu": 0.00, "lattice_angstrom": [[4.428, 0.000, 0.000], [0.000, 4.428, 0.000], [0.000, 0.000, 10.533]], "species": ["La", "La", "Al", "Al", "Al", "Sn", "Pd", "Pd", "Pd", "Pd"], "frac_coords": [[0.000, 0.500, 0.247], [0.500, 0.000, 0.753], [0.000, 0.500, 0.881], [0.500, 0.000, 0.119], [0.500, 0.500, 0.500], [0.000, 0.000, 0.500], [0.000, 0.000, 0.000], [0.000, 0.500, 0.643], [0.500, 0.000, 0.357], [0.500, 0.500, 0.000]]}

=====

{"formula": "La2Al4SnPd3", "functional": "PBE", "state": "relaxed", "delta_e_f_ev_per_atom": -0.78, "spacegroup": "P-4m2 (115)", "magmom_total_mub_per_fu": 0.00, "lattice_angstrom": [[4.398, 0.000, 0.000], [0.000, 4.398, 0.000], [0.000, 0.000, 10.763]], "species": ["La", "La", "Al", "Al", "Al", "Al", "Sn", "Pd", "Pd", "Pd"], "frac_coords": [[0.000, 0.500, 0.241], [0.500, 0.000, 0.759], [0.000, 0.000, 0.000], [0.000, 0.500, 0.649], [0.500, 0.000, 0.351], [0.500, 0.500, 0.000], [0.000, 0.000, 0.500], [0.000, 0.500, 0.879], [0.500, 0.000, 0.121], [0.500, 0.500, 0.500]]}

=====

{"formula": "SrLaAl2Pd", "functional": "PBE", "state": "relaxed", "delta_e_f_ev_per_atom": -0.25, "spacegroup": "P4/mmm (123)", "magmom_total_mub_per_fu": 0.00, "lattice_angstrom": [[5.077, 0.000, 0.000], [0.000, 5.077, 0.000], [0.000, 0.000, 5.399]], "species": ["Sr", "La", "Al", "Al", "Pd"], "frac_coords": [[0.000, 0.000, 0.000], [0.500, 0.500, 0.000], [0.000, 0.500, 0.500], [0.500, 0.000, 0.500], [0.500, 0.500, 0.500]]}

=====

{"formula": "LaTaAlPd2", "functional": "PBE", "state": "relaxed", "delta_e_f_ev_per_atom": 1.41, "spacegroup": "P4/mmm (123)", "magmom_total_mub_per_fu": 0.21, "lattice_angstrom": [[5.002, 0.000, 0.000], [0.000, 5.002, 0.000], [0.000, 0.000, 5.304]], "species": ["La", "Ta", "Al", "Pd", "Pd"], "frac_coords": [[0.000, 0.000, 0.000], [0.000, 0.000, 0.500], [0.500, 0.500, 0.500], [0.000, 0.500, 0.000], [0.500, 0.000, 0.000]]}

=====

{"formula": "LaTbAl2Pd5", "functional": "PBE", "state": "relaxed", "delta_e_f_ev_per_atom": -0.81, "spacegroup": "P4/mmm (123)", "magmom_total_mub_per_fu": 0.00, "lattice_angstrom": [[4.316, 0.000, 0.000], [0.000, 4.316, 0.000], [0.000, 0.000, 9.216]], "species": ["La", "Tb", "Al", "Al", "Pd", "Pd", "Pd", "Pd", "Pd"], "frac_coords": [[0.000, 0.000, 0.000], [0.000, 0.000, 0.500], [0.500, 0.500, 0.359], [0.500, 0.500, 0.641], [0.000, 0.500, 0.230], [0.000, 0.500, 0.770], [0.500, 0.000, 0.230], [0.500, 0.000, 0.770], [0.500, 0.500, 0.000]]}

=====

{"formula": "LaTbAlPd", "functional": "PBE", "state": "relaxed", "delta_e_f_ev_per_atom": -0.50, "spacegroup": "F-43m (216)", "magmom_total_mub_per_fu": 0.00, "lattice_angstrom": [[0.000, 3.681, 3.681], [3.681, 0.000, 3.681], [3.681, 3.681, 0.000]], "species": ["La", "Tb", "Al", "Pd"], "frac_coords": [[0.000, 0.000, 0.000], [0.500, 0.500, 0.500], [0.750, 0.750, 0.750], [0.250, 0.250, 0.250]]}

=====

{"formula": "LaTmAlPd", "functional": "PBE", "state": "relaxed", "delta_e_f_ev_per_atom": -0.52, "spacegroup": "F-43m (216)", "magmom_total_mub_per_fu": 0.00, "lattice_angstrom": [[0.000, 3.648, 3.648], [3.648, 0.000, 3.648], [3.648, 3.648, 0.000]], "species": ["La", "Tm", "Al", "Pd"], "frac_coords": [[0.000, 0.000, 0.000], [0.500, 0.500, 0.500], [0.250, 0.250, 0.250], [0.750, 0.750, 0.750]]}

=====

{"formula": "LaYAlPd", "functional": "PBE", "state": "relaxed", "delta_e_f_ev_per_atom": -0.52, "spacegroup": "F-43m (216)", "magmom_total_mub_per_fu": 0.00, "lattice_angstrom": [[0.000, 3.677, 3.677], [3.677, 0.000, 3.677], [3.677, 3.677, 0.000]], "species": ["La", "Y", "Al", "Pd"], "frac_coords": [[0.000, 0.000, 0.000], [0.500, 0.500, 0.500], [0.750, 0.750, 0.750], [0.250, 0.250, 0.250]]}

=====

{"formula": "LaAl2ZnPd4", "functional": "PBE", "state": "relaxed", "delta_e_f_ev_per_atom": -0.79, "spacegroup": "R-3m (166)", "magmom_total_mub_per_fu": 0.00, "lattice_angstrom": [[2.148, 1.240, 8.947], [-2.148, 1.240, 8.947], [0.000, -2.481, 8.947]], "species": ["La", "Al", "Al", "Zn", "Pd", "Pd", "Pd", "Pd"], "frac_coords": [[0.000, 0.000, 0.000], [0.235, 0.235, 0.235], [0.765, 0.765, 0.765], [0.500, 0.500, 0.500], [0.133, 0.133, 0.133], [0.404, 0.404, 0.404], [0.596, 0.596, 0.596], [0.867, 0.867, 0.867]]}

=====

no.,VASP energy (eV/cell),density of states at the Fermi level (states/eV/atom),ρ (g/cm³)
1,-50.35,0.729,8.36
2,-64.82,0.334,7.78
3,-43.43,0.571,8.70
4,-54.40,0.675,7.26
5,-52.19,0.940,6.57
6,-20.53,0.992,4.62
7,-23.87,0.698,7.00
8,-50.27,0.688,8.55
9,-20.50,0.924,7.18
10,-20.41,0.840,7.54
11,-22.39,0.857,6.03
12,-40.75,0.412,7.94